VASP calculation (PBE) on a relaxed structure of BaP2Au.

abc: 5.126 5.126 5.126
angles: 60.00 60.00 60.00
Positions (direct):
1 P 0.250 0.250 0.250
2 P 0.000 0.000 0.000
3 Au 0.500 0.500 0.500
4 Ba 0.750 0.750 0.750

Results
The value obtained for the electronic total energy is -3.83 eV per atom. The value obtained for the theoretical density is 6.91 g/cm³. The energy above the most stable polymorph in this dataset comes out at 72.0 kJ per mole of atoms. As for the symmetry: F-43m (216). The calculation puts the total magnetization at 0.00 μB/cell. The calculation puts the formation energy at 0.171 eV/atom.

VASP calculation (PBE) on a relaxed structure of ZrSbTe2Ir.

abc: 5.448 5.448 5.548
angles: 90.00 90.00 90.00
Positions (direct):
1 Zr 0.000 0.000 0.000
2 Ir 0.500 0.500 0.500
3 Te 0.500 0.000 0.000
4 Te 0.000 0.500 0.000
5 Sb 0.000 0.000 0.500

Results
The value obtained for the electronic total energy is -4.53 eV per atom. The value obtained for the theoretical density is 6.66 g/cm³. The energy above the most stable polymorph in this dataset comes out at 52.4 kJ per mole of atoms. The uncorrected formation energy comes out at 1.0337 eV per atom. As for the symmetry: P4/mmm (123). The calculation puts the total magnetization at 2.08 μB/cell.

VASP calculation (PBE) on a relaxed structure of TlCo2Se4.

abc: 3.519 3.519 13.436
angles: 82.48 82.48 60.00
Positions (direct):
1 Co 0.565 0.565 0.305
2 Co 0.435 0.435 0.695
3 Se 0.263 0.263 0.211
4 Se 0.737 0.737 0.789
5 Se 0.867 0.867 0.399
6 Se 0.133 0.133 0.601
7 Tl 0.000 0.000 0.000

Results
The value obtained for the electronic total energy is -4.63 eV per atom. The value obtained for the theoretical density is 7.44 g/cm³. The uncorrected formation energy comes out at -0.2661 eV per atom. As for the symmetry: R-3m (166). The calculation puts the total magnetization at 0.00 μB/cell.

VASP calculation (PBE) on a relaxed structure of WBr2.

abc: 7.109 7.109 7.109
angles: 154.13 154.13 36.92
Positions (direct):
1 Br 0.382 0.382 0.000
2 Br 0.618 0.618 0.000
3 W 0.000 0.000 0.000

Results
The value obtained for the electronic total energy is -4.76 eV per atom. The value obtained for the theoretical density is 8.35 g/cm³. The energy above the most stable polymorph in this dataset comes out at 110.2 kJ per mole of atoms. The uncorrected formation energy comes out at 0.6754 eV per atom. As for the symmetry: I4/mmm (139). The calculation puts the total magnetization at 0.00 μB/cell.

VASP calculation (PBE) on a relaxed structure of CoReSiRu.

abc: 4.159 4.159 4.159
angles: 60.00 60.00 60.00
Positions (direct):
1 Si 0.250 0.250 0.250
2 Co 0.750 0.750 0.750
3 Ru 0.500 0.500 0.500
4 Re 0.000 0.000 0.000

Results
The value obtained for the electronic total energy is -8.70 eV per atom. The value obtained for the theoretical density is 12.22 g/cm³. The uncorrected formation energy comes out at -0.1377 eV per atom. As for the symmetry: F-43m (216). The calculation puts the total magnetization at 0.01 μB/cell.

VASP calculation (PBE) on a relaxed structure of LaHg3C.

abc: 4.883 4.883 4.883
angles: 90.00 90.00 90.00
Positions (direct):
1 Hg 0.000 0.500 0.000
2 Hg 0.000 0.000 0.500
3 Hg 0.500 0.000 0.000
4 C 0.000 0.000 0.000
5 La 0.500 0.500 0.500

Results
The value obtained for the electronic total energy is -2.34 eV per atom. The value obtained for the theoretical density is 10.73 g/cm³. The energy above the most stable polymorph in this dataset comes out at 0.0 kJ per mole of atoms. As for the symmetry: Pm-3m (221). The calculation puts the total magnetization at 0.00 μB/cell. The calculation puts the formation energy at 0.670 eV/atom.

Q: Among the records above, which one has the highest total magnetization?
A: ZrSbTe2Ir

Copy entry 6 word for word.
VASP calculation (PBE) on a relaxed structure of LaHg3C.

abc: 4.883 4.883 4.883
angles: 90.00 90.00 90.00
Positions (direct):
1 Hg 0.000 0.500 0.000
2 Hg 0.000 0.000 0.500
3 Hg 0.500 0.000 0.000
4 C 0.000 0.000 0.000
5 La 0.500 0.500 0.500

Results
The value obtained for the electronic total energy is -2.34 eV per atom. The value obtained for the theoretical density is 10.73 g/cm³. The energy above the most stable polymorph in this dataset comes out at 0.0 kJ per mole of atoms. As for the symmetry: Pm-3m (221). The calculation puts the total magnetization at 0.00 μB/cell. The calculation puts the formation energy at 0.670 eV/atom.

Q: Number 3 is which compound?
A: TlCo2Se4